Here is a relaxed TcNiO2 crystal from Alexandria. Energies are from PBE with a Hubbard U.

a = 4.653 Å, b = 5.029 Å, c = 5.074 Å
α = 105.05°, β = 109.27°, γ = 103.25°
Fractional coordinates of all 8 atoms:
Tc1 0.000 0.000 0.000
Tc2 0.321 0.297 0.878
Ni1 0.629 0.871 0.420
Ni2 0.981 0.556 0.580
O1 0.043 0.174 0.429
O2 0.216 0.698 0.010
O3 0.583 0.055 0.785
O4 0.726 0.554 0.207

Calculated values
Excess energy over the best structure of this formula in the dataset (meV per atom): 294
Space-group type: No. 1